[1]
Mg2Si3Pd4: relaxed, GGA-PBE.

CIF file:
```
data_Mg2Si3Pd4
_cell_length_a 7.769
_cell_length_b 7.769
_cell_length_c 7.181
_cell_angle_alpha 90.00
_cell_angle_beta 90.00
_cell_angle_gamma 138.94
_space_group_name_H-M_alt 'P 1'
_space_group_IT_number 1
_space_group_name_Hall 'P 1'
loop_
_atom_site_label
_atom_site_type_symbol
_atom_site_fract_x
_atom_site_fract_y
_atom_site_fract_z
_atom_site_occupancy
Mg1 Mg 0.096 0.904 0.899 1
Mg2 Mg 0.404 0.596 0.399 1
Mg3 Mg 0.596 0.404 0.601 1
Mg4 Mg 0.904 0.096 0.101 1
Si1 Si 0.000 0.000 0.500 1
Si2 Si 0.014 0.486 0.750 1
Si3 Si 0.486 0.014 0.250 1
Si4 Si 0.500 0.500 0.000 1
Si5 Si 0.514 0.986 0.750 1
Si6 Si 0.986 0.514 0.250 1
Pd1 Pd 0.178 0.822 0.525 1
Pd2 Pd 0.185 0.315 0.750 1
Pd3 Pd 0.315 0.185 0.250 1
Pd4 Pd 0.322 0.678 0.025 1
Pd5 Pd 0.678 0.322 0.975 1
Pd6 Pd 0.685 0.815 0.750 1
Pd7 Pd 0.815 0.685 0.250 1
Pd8 Pd 0.822 0.178 0.475 1
```

Space group: Cmce
Total moment in μB per cell: 0.00
Density of states at the Fermi level in states/eV/atom: 0.369
Uncorrected energy in eV per formula unit: -45.5

***

[2]
MgSiPd4: relaxed, GGA-PBE.

CIF file:
```
data_MgSiPd4
_cell_length_a 7.143
_cell_length_b 4.143
_cell_length_c 7.179
_cell_angle_alpha 90.00
_cell_angle_beta 109.39
_cell_angle_gamma 90.00
_space_group_name_H-M_alt 'P 1'
_space_group_IT_number 1
_space_group_name_Hall 'P 1'
loop_
_atom_site_label
_atom_site_type_symbol
_atom_site_fract_x
_atom_site_fract_y
_atom_site_fract_z
_atom_site_occupancy
Mg1 Mg 0.000 0.000 0.000 1
Mg2 Mg 0.500 0.500 0.000 1
Si1 Si 0.000 0.500 0.500 1
Si2 Si 0.500 0.000 0.500 1
Pd1 Pd 0.117 0.500 0.852 1
Pd2 Pd 0.131 0.000 0.392 1
Pd3 Pd 0.369 0.500 0.608 1
Pd4 Pd 0.383 0.000 0.148 1
Pd5 Pd 0.617 0.000 0.852 1
Pd6 Pd 0.631 0.500 0.392 1
Pd7 Pd 0.869 0.000 0.608 1
Pd8 Pd 0.883 0.500 0.148 1
```

Space group: C2/m
Total moment in μB per cell: 0.00
Density of states at the Fermi level in states/eV/atom: 0.269
Uncorrected energy in eV per formula unit: -30.8

***

[3]
MgSiPd2: relaxed, GGA-PBE.

CIF file:
```
data_MgSiPd2
_cell_length_a 3.044
_cell_length_b 3.044
_cell_length_c 6.574
_cell_angle_alpha 90.00
_cell_angle_beta 90.00
_cell_angle_gamma 90.00
_space_group_name_H-M_alt 'P 1'
_space_group_IT_number 1
_space_group_name_Hall 'P 1'
loop_
_atom_site_label
_atom_site_type_symbol
_atom_site_fract_x
_atom_site_fract_y
_atom_site_fract_z
_atom_site_occupancy
Mg1 Mg 0.000 0.000 0.000 1
Si1 Si 0.000 0.000 0.500 1
Pd1 Pd 0.500 0.500 0.285 1
Pd2 Pd 0.500 0.500 0.715 1
```

Space group: P4/mmm
Total moment in μB per cell: 0.00
Density of states at the Fermi level in states/eV/atom: 0.415
Uncorrected energy in eV per formula unit: -19.8

***

[4]
MgSi2Pd7: relaxed, GGA-PBE.

CIF file:
```
data_MgSi2Pd7
_cell_length_a 6.846
_cell_length_b 6.846
_cell_length_c 4.385
_cell_angle_alpha 90.00
_cell_angle_beta 90.00
_cell_angle_gamma 115.34
_space_group_name_H-M_alt 'P 1'
_space_group_IT_number 1
_space_group_name_Hall 'P 1'
loop_
_atom_site_label
_atom_site_type_symbol
_atom_site_fract_x
_atom_site_fract_y
_atom_site_fract_z
_atom_site_occupancy
Mg1 Mg 0.000 0.000 0.000 1
Si1 Si 0.300 0.700 0.500 1
Si2 Si 0.700 0.300 0.500 1
Pd1 Pd 0.065 0.318 0.500 1
Pd2 Pd 0.234 0.766 0.000 1
Pd3 Pd 0.318 0.065 0.500 1
Pd4 Pd 0.500 0.500 0.500 1
Pd5 Pd 0.682 0.935 0.500 1
Pd6 Pd 0.766 0.234 0.000 1
Pd7 Pd 0.935 0.682 0.500 1
```

Space group: Cmmm
Total moment in μB per cell: 0.00
Density of states at the Fermi level in states/eV/atom: 0.358
Uncorrected energy in eV per formula unit: -51.7

***

[5]
Mg8SiPd2: relaxed, GGA-PBE.

CIF file:
```
data_Mg8SiPd2
_cell_length_a 8.230
_cell_length_b 8.230
_cell_length_c 6.496
_cell_angle_alpha 111.28
_cell_angle_beta 111.28
_cell_angle_gamma 31.82
_space_group_name_H-M_alt 'P 1'
_space_group_IT_number 1
_space_group_name_Hall 'P 1'
loop_
_atom_site_label
_atom_site_type_symbol
_atom_site_fract_x
_atom_site_fract_y
_atom_site_fract_z
_atom_site_occupancy
Mg1 Mg 0.023 0.023 0.265 1
Mg2 Mg 0.198 0.198 0.787 1
Mg3 Mg 0.330 0.330 0.555 1
Mg4 Mg 0.396 0.396 0.054 1
Mg5 Mg 0.604 0.604 0.946 1
Mg6 Mg 0.670 0.670 0.445 1
Mg7 Mg 0.802 0.802 0.213 1
Mg8 Mg 0.977 0.977 0.735 1
Si1 Si 0.500 0.500 0.500 1
Pd1 Pd 0.175 0.175 0.178 1
Pd2 Pd 0.825 0.825 0.822 1
```

Space group: C2/m
Total moment in μB per cell: 0.00
Density of states at the Fermi level in states/eV/atom: 0.377
Uncorrected energy in eV per formula unit: -32.1

***

[6]
Mg4SiPd7: relaxed, GGA-PBE.

CIF file:
```
data_Mg4SiPd7
_cell_length_a 7.085
_cell_length_b 7.085
_cell_length_c 7.546
_cell_angle_alpha 120.90
_cell_angle_beta 120.90
_cell_angle_gamma 38.63
_space_group_name_H-M_alt 'P 1'
_space_group_IT_number 1
_space_group_name_Hall 'P 1'
loop_
_atom_site_label
_atom_site_type_symbol
_atom_site_fract_x
_atom_site_fract_y
_atom_site_fract_z
_atom_site_occupancy
Mg1 Mg 0.074 0.074 0.231 1
Mg2 Mg 0.252 0.252 0.750 1
Mg3 Mg 0.748 0.748 0.250 1
Mg4 Mg 0.926 0.926 0.769 1
Si1 Si 0.500 0.500 0.500 1
Pd1 Pd 0.000 0.000 0.500 1
Pd2 Pd 0.186 0.186 0.017 1
Pd3 Pd 0.317 0.317 0.474 1
Pd4 Pd 0.451 0.451 0.145 1
Pd5 Pd 0.549 0.549 0.855 1
Pd6 Pd 0.683 0.683 0.526 1
Pd7 Pd 0.814 0.814 0.983 1
```

Space group: C2/m
Total moment in μB per cell: 0.00
Density of states at the Fermi level in states/eV/atom: 0.398
Uncorrected energy in eV per formula unit: -54.6

***

[7]
MgSi2Pd2: relaxed, GGA-PBE.

CIF file:
```
data_MgSi2Pd2
_cell_length_a 7.212
_cell_length_b 7.212
_cell_length_c 3.031
_cell_angle_alpha 90.00
_cell_angle_beta 90.00
_cell_angle_gamma 90.00
_space_group_name_H-M_alt 'P 1'
_space_group_IT_number 1
_space_group_name_Hall 'P 1'
loop_
_atom_site_label
_atom_site_type_symbol
_atom_site_fract_x
_atom_site_fract_y
_atom_site_fract_z
_atom_site_occupancy
Mg1 Mg 0.000 0.000 0.000 1
Mg2 Mg 0.500 0.500 0.000 1
Si1 Si 0.111 0.389 0.000 1
Si2 Si 0.389 0.889 0.000 1
Si3 Si 0.611 0.111 0.000 1
Si4 Si 0.889 0.611 0.000 1
Pd1 Pd 0.203 0.703 0.500 1
Pd2 Pd 0.297 0.203 0.500 1
Pd3 Pd 0.703 0.797 0.500 1
Pd4 Pd 0.797 0.297 0.500 1
```

Space group: P4/mbm
Total moment in μB per cell: 0.00
Density of states at the Fermi level in states/eV/atom: 0.207
Uncorrected energy in eV per formula unit: -24.6

***

[8]
MgSiPd2: relaxed, GGA-PBE.

CIF file:
```
data_MgSiPd2
_cell_length_a 2.883
_cell_length_b 4.694
_cell_length_c 10.290
_cell_angle_alpha 90.00
_cell_angle_beta 90.00
_cell_angle_gamma 90.00
_space_group_name_H-M_alt 'P 1'
_space_group_IT_number 1
_space_group_name_Hall 'P 1'
loop_
_atom_site_label
_atom_site_type_symbol
_atom_site_fract_x
_atom_site_fract_y
_atom_site_fract_z
_atom_site_occupancy
Mg1 Mg 0.000 0.000 0.000 1
Mg2 Mg 0.500 0.500 0.500 1
Si1 Si 0.000 0.000 0.500 1
Si2 Si 0.500 0.500 0.000 1
Pd1 Pd 0.000 0.000 0.279 1
Pd2 Pd 0.000 0.000 0.721 1
Pd3 Pd 0.500 0.500 0.221 1
Pd4 Pd 0.500 0.500 0.779 1
```

Space group: Immm
Total moment in μB per cell: 0.00
Density of states at the Fermi level in states/eV/atom: 0.460
Uncorrected energy in eV per formula unit: -17.7

***

[9]
Mg2Si2Pd3: relaxed, GGA-PBE.

CIF file:
```
data_Mg2Si2Pd3
_cell_length_a 4.242
_cell_length_b 4.258
_cell_length_c 7.544
_cell_angle_alpha 105.78
_cell_angle_beta 90.99
_cell_angle_gamma 118.72
_space_group_name_H-M_alt 'P 1'
_space_group_IT_number 1
_space_group_name_Hall 'P 1'
loop_
_atom_site_label
_atom_site_type_symbol
_atom_site_fract_x
_atom_site_fract_y
_atom_site_fract_z
_atom_site_occupancy
Mg1 Mg 0.129 0.258 0.388 1
Mg2 Mg 0.871 0.742 0.612 1
Si1 Si 0.386 0.787 0.170 1
Si2 Si 0.614 0.213 0.830 1
Pd1 Pd 0.000 0.000 0.000 1
Pd2 Pd 0.265 0.522 0.789 1
Pd3 Pd 0.735 0.478 0.211 1
```

Space group: P-1
Total moment in μB per cell: 0.00
Density of states at the Fermi level in states/eV/atom: 0.243
Uncorrected energy in eV per formula unit: -33.4

***

[10]
Mg2SiPd4: relaxed, GGA-PBE.

CIF file:
```
data_Mg2SiPd4
_cell_length_a 5.811
_cell_length_b 5.811
_cell_length_c 6.661
_cell_angle_alpha 90.00
_cell_angle_beta 90.00
_cell_angle_gamma 90.00
_space_group_name_H-M_alt 'P 1'
_space_group_IT_number 1
_space_group_name_Hall 'P 1'
loop_
_atom_site_label
_atom_site_type_symbol
_atom_site_fract_x
_atom_site_fract_y
_atom_site_fract_z
_atom_site_occupancy
Mg1 Mg 0.000 0.500 0.000 1
Mg2 Mg 0.000 0.500 0.500 1
Mg3 Mg 0.500 0.000 0.000 1
Mg4 Mg 0.500 0.000 0.500 1
Si1 Si 0.000 0.000 0.000 1
Si2 Si 0.500 0.500 0.500 1
Pd1 Pd 0.250 0.250 0.250 1
Pd2 Pd 0.250 0.250 0.750 1
Pd3 Pd 0.250 0.750 0.250 1
Pd4 Pd 0.250 0.750 0.750 1
Pd5 Pd 0.750 0.250 0.250 1
Pd6 Pd 0.750 0.250 0.750 1
Pd7 Pd 0.750 0.750 0.250 1
Pd8 Pd 0.750 0.750 0.750 1
```

Space group: I4/mmm
Total moment in μB per cell: 0.00
Density of states at the Fermi level in states/eV/atom: 0.252
Uncorrected energy in eV per formula unit: -33.4